Arrangement a

A plane-wave DFT calculation with PBE-GGA was carried out for crystalline TiPb3Se at its relaxed geometry.

a b c (Å): 5.4393 5.4393 5.4393
angles (deg): 90.00 90.00 90.00
Sites, in units of the cell vectors:
Ti  0.0000  0.0000  0.0000
Pb  0.5000  0.0000  0.0000
Pb  0.0000  0.5000  0.0000
Pb  0.0000  0.0000  0.5000
Se  0.5000  0.5000  0.5000

Properties
space group = Pm-3m, No. 221
calculated volume = 32.2 A^3/atom
magnetic moment = 0.000 μB per formula unit

Arrangement b

A plane-wave DFT calculation with PBE-GGA was carried out for crystalline TiPb3Se at its relaxed geometry.

a b c (Å): 5.5878 5.5878 5.5878
angles (deg): 90.00 90.00 90.00
Sites, in units of the cell vectors:
Pb  0.0000  0.5000  0.0000
Pb  0.5000  0.0000  0.0000
Pb  0.0000  0.0000  0.5000
Se  0.0000  0.0000  0.0000
Ti  0.5000  0.5000  0.5000

Properties
space group = Pm-3m, No. 221
calculated volume = 34.9 A^3/atom
magnetic moment = 0.000 μB per formula unit

Which structure is the most stable? The one labeled arrangement a.

Arrangement a

A plane-wave DFT calculation with PBE-GGA was carried out for crystalline TlPb3Se at its relaxed geometry.

a b c (Å): 5.7462 5.7462 5.7462
angles (deg): 90.00 90.00 90.00
Sites, in units of the cell vectors:
Pb  0.0000  0.5000  0.0000
Pb  0.5000  0.0000  0.0000
Pb  0.0000  0.0000  0.5000
Tl  0.5000  0.5000  0.5000
Se  0.0000  0.0000  0.0000

Properties
space group = Pm-3m, No. 221
calculated volume = 37.9 A^3/atom
magnetic moment = 0.000 μB per formula unit

Arrangement b

A plane-wave DFT calculation with PBE-GGA was carried out for crystalline TlPb3Se at its relaxed geometry.

a b c (Å): 5.8502 5.8502 5.8502
angles (deg): 90.00 90.00 90.00
Sites, in units of the cell vectors:
Pb  0.5000  0.0000  0.0000
Pb  0.0000  0.5000  0.0000
Pb  0.0000  0.0000  0.5000
Tl  0.0000  0.0000  0.0000
Se  0.5000  0.5000  0.5000

Properties
space group = Pm-3m, No. 221
calculated volume = 40.0 A^3/atom
magnetic moment = 0.000 μB per formula unit

Which structure is the most stable? The one labeled arrangement a.